6
Lattice="-0.044 0.888 5.211 -4.263 -2.040 -2.370 2.120 -5.548 0.963" Properties=species:S:1:pos:R:3 comment="AlTlCd, relaxed, DFT PBE" e_tot_ev_per_cell=-12.51 magnetic_moment_mub_per_fu=0.00 density_kg_m3=7840 pbc="T T T"
Al -2.326 -2.451 0.398
Al 0.140 -4.249 3.406
Tl -1.266 -5.225 0.879
Tl -0.920 -1.475 2.925
Cd 1.060 -2.774 0.481
Cd 0.000 0.000 0.000



4
Lattice="-4.371 -0.467 -3.833 1.421 -0.678 -5.616 1.477 -2.437 5.088" Properties=species:S:1:pos:R:3 comment="BaYIr2, relaxed, DFT PBE" e_tot_ev_per_cell=-25.24 magnetic_moment_mub_per_fu=0.00 density_kg_m3=11073 pbc="T T T"
Ir 0.000 0.000 0.000
Ir 0.712 -1.844 -2.626
Ba -2.184 -1.738 -1.734
Y -1.475 -0.573 -4.724



5
Lattice="6.761 0.000 0.000 0.000 5.013 0.000 0.000 0.000 6.761" Properties=species:S:1:pos:R:3 comment="K2TlZnC, relaxed, DFT PBE" e_tot_ev_per_cell=-8.26 magnetic_moment_mub_per_fu=1.84 density_kg_m3=2609 pbc="T T T"
Zn 0.000 2.506 0.000
C 3.380 2.506 3.380
Tl 0.000 0.000 0.000
K 3.380 0.000 0.000
K 0.000 0.000 3.380



4
Lattice="5.148 0.000 0.000 2.574 4.458 0.000 2.574 1.486 4.203" Properties=species:S:1:pos:R:3 comment="NdTmCdPt, relaxed, DFT PBE" e_tot_ev_per_cell=-18.89 magnetic_moment_mub_per_fu=0.00 density_kg_m3=10686 pbc="T T T"
Cd 7.721 4.458 3.152
Nd 0.000 0.000 0.000
Pt 2.574 1.486 1.051
Tm 5.148 2.972 2.102



4
Lattice="1.814 0.000 9.936 -0.907 1.571 9.936 -0.907 -1.571 9.936" Properties=species:S:1:pos:R:3 comment="MgTaCl2, relaxed, DFT PBE" e_tot_ev_per_cell=-19.14 magnetic_moment_mub_per_fu=0.00 e_form_raw_mev_per_atom=-499.2 density_kg_m3=5398 pbc="T T T"
Cl 0.000 0.000 3.150
Cl 0.000 0.000 26.658
Ta 0.000 0.000 14.904
Mg 0.000 0.000 0.000



4
Lattice="2.722 0.000 0.000 0.000 2.722 0.000 0.000 0.000 7.329" Properties=species:S:1:pos:R:3 comment="Cu2TcPt, relaxed, DFT PBE" e_tot_ev_per_cell=-24.66 magnetic_moment_mub_per_fu=0.00 density_kg_m3=12848 pbc="T T T"
Tc 1.361 1.361 5.554
Pt 0.000 0.000 3.633
Cu 1.361 1.361 1.726
Cu 0.000 0.000 0.081



4
Lattice="2.868 0.000 0.000 0.000 4.339 0.000 0.000 0.000 5.595" Properties=species:S:1:pos:R:3 comment="Li2TcPb, relaxed, DFT PBE" e_tot_ev_per_cell=-16.71 magnetic_moment_mub_per_fu=0.00 density_kg_m3=7612 pbc="T T T"
Li 0.000 0.000 2.966
Li 0.000 0.000 5.426
Pb 1.434 2.169 1.399
Tc 1.434 2.169 4.196



6
Lattice="-4.787 0.167 1.824 -2.725 4.326 -0.347 -3.966 0.277 -3.234" Properties=species:S:1:pos:R:3 comment="TaAlTc4, relaxed, DFT PBE" e_tot_ev_per_cell=-57.24 magnetic_moment_mub_per_fu=0.00 density_kg_m3=10466 pbc="T T T"
Al -8.609 3.578 -1.318
Tc -5.668 3.943 -0.833
Tc -6.692 1.875 0.247
Tc -6.285 1.930 -2.268
Tc -4.312 1.792 -0.660
Ta 0.000 0.000 0.000